Pu6In2C | PBE | optimized geometry

Geometry as POSCAR:
```
Pu6In2C
1.0
6.8024 0.0000 -0.1795
0.0000 6.8044 0.0000
0.2545 0.0000 9.6256
Pu C In
12 2 4
direct
0.0000 0.0000 0.2510 Pu
0.2507 0.7494 0.0000 Pu
0.5000 0.5000 0.2490 Pu
0.5000 0.5000 0.7510 Pu
0.7507 0.2493 0.5000 Pu
0.7493 0.2506 0.0000 Pu
0.0000 0.0000 0.7490 Pu
0.2507 0.2507 0.0000 Pu
0.2493 0.2494 0.5000 Pu
0.7493 0.7493 0.0000 Pu
0.7507 0.7506 0.5000 Pu
0.2493 0.7507 0.5000 Pu
0.5000 0.5000 0.0000 C
0.0000 0.0000 0.5000 C
0.5001 0.0000 0.7500 In
0.0001 0.5000 0.2500 In
0.4999 0.0000 0.2500 In
0.9999 0.5000 0.7500 In
```

Output
ΔE_f = -0.07 eV/atom